No. 1
DFT (meta-GGA SCAN) results for a crystal of CaTc2Se relaxed with PBEsol.

M_tot: 0.00 μB/f.u.
Uncorrected formation energy: 0.29 eV per atom
ρ: 7.26 g cm⁻³

```
data_CaTc2Se
_space_group_name_H-M_alt 'F m m m'
_space_group_IT_number 69
_space_group_name_Hall '-F 2 2'
_cell_length_a 5.225
_cell_length_b 5.261
_cell_length_c 10.484
_cell_angle_alpha 90.00
_cell_angle_beta 90.00
_cell_angle_gamma 90.00
loop_
_atom_site_label
_atom_site_type_symbol
_atom_site_fract_x
_atom_site_fract_y
_atom_site_fract_z
_atom_site_occupancy
Ca1 Ca 0.000 0.000 0.000 1
Tc1 Tc 0.000 0.250 0.250 1
Se1 Se 0.000 0.000 0.500 1
```



No. 2
DFT (meta-GGA SCAN) results for a crystal of FeHgRu relaxed with PBEsol.

M_tot: 2.48 μB/f.u.
Formation enthalpy at 0 K: 34.6 kJ per mole of atoms
ρ: 13.58 g cm⁻³
Distance to the lowest polymorph of the same formula: 0 meV/atom

```
data_FeHgRu
_space_group_name_H-M_alt 'I 4 m m'
_space_group_IT_number 107
_space_group_name_Hall 'I 4 -2'
_cell_length_a 2.798
_cell_length_b 2.798
_cell_length_c 11.168
_cell_angle_alpha 90.00
_cell_angle_beta 90.00
_cell_angle_gamma 90.00
loop_
_atom_site_label
_atom_site_type_symbol
_atom_site_fract_x
_atom_site_fract_y
_atom_site_fract_z
_atom_site_occupancy
Fe1 Fe 0.000 0.000 0.000 1
Hg1 Hg 0.000 0.000 0.319 1
Ru1 Ru 0.000 0.000 0.625 1
```



What is the formula in the second record? FeHgRu



Which of these has the highest ρ? FeHgRu